No. 1
Compound: ReSnS2
Source: Alexandria
Functional: PBE
Structure: optimized geometry

Calculated values
- DFT total energy: -48.2 eV/cell
- Space group: I-42d (122)
- DOS(E_F): 1.019 states/eV/atom
- Energy relative to the elements, uncorrected: 0.149 eV per atom
- Theoretical density: 6.4 g/cm³
- Crystal system: tetragonal

Geometry as CIF:
```
data_ReSnS2
_space_group_name_H-M_alt 'P 1'
_space_group_IT_number 1
_cell_length_a 6.641
_cell_length_b 6.641
_cell_length_c 6.641
_cell_angle_alpha 124.13
_cell_angle_beta 124.13
_cell_angle_gamma 82.98
loop_
_space_group_symop_operation_xyz
'x,y,z'
loop_
_atom_site_label
_atom_site_type_symbol
_atom_site_fract_x
_atom_site_fract_y
_atom_site_fract_z
Re1 Re 0.000 0.000 0.000
Re2 Re 0.750 0.250 0.500
Sn1 Sn 0.250 0.750 0.500
Sn2 Sn 0.500 0.500 0.000
S1 S 0.045 0.625 0.920
S2 S 0.375 0.295 0.420
S3 S 0.705 0.125 0.080
S4 S 0.875 0.955 0.580
```

=====

No. 2
Compound: HoMgOs
Source: Alexandria
Functional: PBE
Structure: optimized geometry

Calculated values
- ΔE_f: 0.001 eV/atom
- DFT total energy: -17.4 eV/cell
- Space group: I4mm (107)
- DOS(E_F): 0.665 states/eV/atom
- Theoretical density: 10.2 g/cm³
- Crystal system: tetragonal

Geometry as CIF:
```
data_HoMgOs
_space_group_name_H-M_alt 'P 1'
_space_group_IT_number 1
_cell_length_a 5.854
_cell_length_b 5.854
_cell_length_c 5.854
_cell_angle_alpha 146.20
_cell_angle_beta 146.20
_cell_angle_gamma 48.55
loop_
_space_group_symop_operation_xyz
'x,y,z'
loop_
_atom_site_label
_atom_site_type_symbol
_atom_site_fract_x
_atom_site_fract_y
_atom_site_fract_z
Ho1 Ho 0.000 0.000 0.000
Mg1 Mg 0.723 0.723 0.000
Os1 Os 0.352 0.352 0.000
```

=====

No. 3
Compound: BeZnPb2
Source: Alexandria
Functional: PBE
Structure: optimized geometry

Calculated values
- ΔE_f: 0.509 eV/atom
- DFT total energy: -10.4 eV/cell
- Relative energy among the computed polymorphs: 287 meV/atom
- Space group: Fm-3m (225)
- DOS(E_F): 0.380 states/eV/atom
- Theoretical density: 9.0 g/cm³
- Crystal system: cubic

Geometry as CIF:
```
data_BeZnPb2
_space_group_name_H-M_alt 'P 1'
_space_group_IT_number 1
_cell_length_a 5.038
_cell_length_b 5.038
_cell_length_c 5.038
_cell_angle_alpha 60.00
_cell_angle_beta 60.00
_cell_angle_gamma 60.00
loop_
_space_group_symop_operation_xyz
'x,y,z'
loop_
_atom_site_label
_atom_site_type_symbol
_atom_site_fract_x
_atom_site_fract_y
_atom_site_fract_z
Be1 Be 0.000 0.000 0.000
Zn1 Zn 0.500 0.500 0.500
Pb1 Pb 0.250 0.250 0.250
Pb2 Pb 0.750 0.750 0.750
```

=====

No. 4
Compound: KC3N
Source: Alexandria
Functional: PBE
Structure: optimized geometry

Calculated values
- DFT total energy: -12.1 eV/cell
- Relative energy among the computed polymorphs: 1451 meV/atom
- Space group: Pm-3m (221)
- DOS(E_F): 2.666 states/eV/atom
- Energy relative to the elements, uncorrected: 5.000 eV per atom
- Theoretical density: 0.7 g/cm³
- Crystal system: cubic

Geometry as CIF:
```
data_KC3N
_space_group_name_H-M_alt 'P 1'
_space_group_IT_number 1
_cell_length_a 5.864
_cell_length_b 5.864
_cell_length_c 5.864
_cell_angle_alpha 90.00
_cell_angle_beta 90.00
_cell_angle_gamma 90.00
loop_
_space_group_symop_operation_xyz
'x,y,z'
loop_
_atom_site_label
_atom_site_type_symbol
_atom_site_fract_x
_atom_site_fract_y
_atom_site_fract_z
K1 K 0.000 0.000 0.000
C1 C 0.000 0.000 0.500
C2 C 0.000 0.500 0.000
C3 C 0.500 0.000 0.000
N1 N 0.500 0.500 0.500
```

=====

No. 5
Compound: GdZrSc2
Source: Alexandria
Functional: PBE
Structure: optimized geometry

Calculated values
- ΔE_f: 0.128 eV/atom
- DFT total energy: -34.8 eV/cell
- Relative energy among the computed polymorphs: 87 meV/atom
- Space group: Fm-3m (225)
- DOS(E_F): 1.950 states/eV/atom
- Theoretical density: 5.5 g/cm³
- Crystal system: cubic

Geometry as CIF:
```
data_GdZrSc2
_space_group_name_H-M_alt 'P 1'
_space_group_IT_number 1
_cell_length_a 5.240
_cell_length_b 5.240
_cell_length_c 5.240
_cell_angle_alpha 60.00
_cell_angle_beta 60.00
_cell_angle_gamma 60.00
loop_
_space_group_symop_operation_xyz
'x,y,z'
loop_
_atom_site_label
_atom_site_type_symbol
_atom_site_fract_x
_atom_site_fract_y
_atom_site_fract_z
Gd1 Gd 0.000 0.000 0.000
Zr1 Zr 0.500 0.500 0.500
Sc1 Sc 0.250 0.250 0.250
Sc2 Sc 0.750 0.750 0.750
```

=====

No. 6
Compound: ZrVS3
Source: Alexandria
Functional: PBE
Structure: optimized geometry

Calculated values
- DFT total energy: -72.0 eV/cell
- Relative energy among the computed polymorphs: 0 meV/atom
- Space group: R-3 (148)
- DOS(E_F): 0.994 states/eV/atom
- Energy relative to the elements, uncorrected: -1.187 eV per atom
- Theoretical density: 4.1 g/cm³
- Crystal system: trigonal

Geometry as CIF:
```
data_ZrVS3
_space_group_name_H-M_alt 'P 1'
_space_group_IT_number 1
_cell_length_a 6.792
_cell_length_b 6.792
_cell_length_c 6.792
_cell_angle_alpha 54.88
_cell_angle_beta 54.88
_cell_angle_gamma 54.88
loop_
_space_group_symop_operation_xyz
'x,y,z'
loop_
_atom_site_label
_atom_site_type_symbol
_atom_site_fract_x
_atom_site_fract_y
_atom_site_fract_z
Zr1 Zr 0.160 0.160 0.160
Zr2 Zr 0.840 0.840 0.840
V1 V 0.337 0.337 0.337
V2 V 0.663 0.663 0.663
S1 S 0.071 0.426 0.738
S2 S 0.262 0.929 0.574
S3 S 0.426 0.738 0.071
S4 S 0.574 0.262 0.929
S5 S 0.738 0.071 0.426
S6 S 0.929 0.574 0.262
```

=====

No. 7
Compound: LaMgAg
Source: Alexandria
Functional: PBE
Structure: optimized geometry

Calculated values
- ΔE_f: 0.345 eV/atom
- DFT total energy: -8.3 eV/cell
- Space group: F-43m (216)
- DOS(E_F): 1.255 states/eV/atom
- Theoretical density: 4.6 g/cm³
- Crystal system: cubic

Geometry as CIF:
```
data_LaMgAg
_space_group_name_H-M_alt 'P 1'
_space_group_IT_number 1
_cell_length_a 5.169
_cell_length_b 5.169
_cell_length_c 5.169
_cell_angle_alpha 60.00
_cell_angle_beta 60.00
_cell_angle_gamma 60.00
loop_
_space_group_symop_operation_xyz
'x,y,z'
loop_
_atom_site_label
_atom_site_type_symbol
_atom_site_fract_x
_atom_site_fract_y
_atom_site_fract_z
La1 La 0.000 0.000 0.000
Mg1 Mg 0.750 0.750 0.750
Ag1 Ag 0.250 0.250 0.250
```

=====

No. 8
Compound: Er2PaH
Source: Alexandria
Functional: PBE
Structure: optimized geometry

Calculated values
- DFT total energy: -21.2 eV/cell
- Relative energy among the computed polymorphs: 95 meV/atom
- Space group: P4/mmm (123)
- DOS(E_F): 1.500 states/eV/atom
- Theoretical density: 10.9 g/cm³
- Crystal system: tetragonal

Geometry as CIF:
```
data_Er2PaH
_space_group_name_H-M_alt 'P 1'
_space_group_IT_number 1
_cell_length_a 3.214
_cell_length_b 3.214
_cell_length_c 8.332
_cell_angle_alpha 90.00
_cell_angle_beta 90.00
_cell_angle_gamma 90.00
loop_
_space_group_symop_operation_xyz
'x,y,z'
loop_
_atom_site_label
_atom_site_type_symbol
_atom_site_fract_x
_atom_site_fract_y
_atom_site_fract_z
Er1 Er 0.000 0.000 0.196
Er2 Er 0.000 0.000 0.804
Pa1 Pa 0.500 0.500 0.500
H1 H 0.500 0.500 0.000
```

=====

No. 9
Compound: Na2MoCl2
Source: Alexandria
Functional: PBE
Structure: optimized geometry

Calculated values
- DFT total energy: -35.8 eV/cell
- Relative energy among the computed polymorphs: 0 meV/atom
- Space group: P4/mbm (127)
- DOS(E_F): 0.103 states/eV/atom
- Energy relative to the elements, uncorrected: -0.143 eV per atom
- Theoretical density: 2.9 g/cm³
- Crystal system: tetragonal

Geometry as CIF:
```
data_Na2MoCl2
_space_group_name_H-M_alt 'P 1'
_space_group_IT_number 1
_cell_length_a 8.404
_cell_length_b 8.404
_cell_length_c 3.419
_cell_angle_alpha 90.00
_cell_angle_beta 90.00
_cell_angle_gamma 90.00
loop_
_space_group_symop_operation_xyz
'x,y,z'
loop_
_atom_site_label
_atom_site_type_symbol
_atom_site_fract_x
_atom_site_fract_y
_atom_site_fract_z
Na1 Na 0.138 0.362 0.000
Na2 Na 0.362 0.862 0.000
Na3 Na 0.638 0.138 0.000
Na4 Na 0.862 0.638 0.000
Mo1 Mo 0.000 0.000 0.000
Mo2 Mo 0.500 0.500 0.000
Cl1 Cl 0.151 0.651 0.500
Cl2 Cl 0.349 0.151 0.500
Cl3 Cl 0.651 0.849 0.500
Cl4 Cl 0.849 0.349 0.500
```

=====

No. 10
Compound: TlAgBiTe2
Source: Alexandria
Functional: PBE
Structure: optimized geometry

Calculated values
- DFT total energy: -31.7 eV/cell
- Space group: P2/c (13)
- DOS(E_F): 0.254 states/eV/atom
- Energy relative to the elements, uncorrected: -0.097 eV per atom
- Theoretical density: 7.9 g/cm³
- Crystal system: monoclinic

Geometry as CIF:
```
data_TlAgBiTe2
_space_group_name_H-M_alt 'P 1'
_space_group_IT_number 1
_cell_length_a 8.169
_cell_length_b 4.397
_cell_length_c 9.136
_cell_angle_alpha 90.00
_cell_angle_beta 92.36
_cell_angle_gamma 90.00
loop_
_space_group_symop_operation_xyz
'x,y,z'
loop_
_atom_site_label
_atom_site_type_symbol
_atom_site_fract_x
_atom_site_fract_y
_atom_site_fract_z
Tl1 Tl 0.000 0.043 0.250
Tl2 Tl 0.000 0.957 0.750
Ag1 Ag 0.500 0.000 0.000
Ag2 Ag 0.500 0.000 0.500
Bi1 Bi 0.500 0.494 0.750
Bi2 Bi 0.500 0.506 0.250
Te1 Te 0.233 0.419 0.991
Te2 Te 0.233 0.581 0.491
Te3 Te 0.767 0.419 0.509
Te4 Te 0.767 0.581 0.009
```

=====

No. 11
Compound: InSi2Mo
Source: Alexandria
Functional: PBE
Structure: optimized geometry

Calculated values
- DFT total energy: -23.7 eV/cell
- Space group: R-3m (166)
- DOS(E_F): 0.644 states/eV/atom
- Energy relative to the elements, uncorrected: 0.185 eV per atom
- Theoretical density: 6.2 g/cm³
- Crystal system: trigonal

Geometry as CIF:
```
data_InSi2Mo
_space_group_name_H-M_alt 'P 1'
_space_group_IT_number 1
_cell_length_a 8.218
_cell_length_b 8.218
_cell_length_c 8.218
_cell_angle_alpha 22.63
_cell_angle_beta 22.63
_cell_angle_gamma 22.63
loop_
_space_group_symop_operation_xyz
'x,y,z'
loop_
_atom_site_label
_atom_site_type_symbol
_atom_site_fract_x
_atom_site_fract_y
_atom_site_fract_z
In1 In 0.000 0.000 0.000
Si1 Si 0.238 0.238 0.238
Si2 Si 0.762 0.762 0.762
Mo1 Mo 0.500 0.500 0.500
```

=====

No. 12
Compound: NpVS3
Source: Alexandria
Functional: PBE
Structure: optimized geometry

Calculated values
- DFT total energy: -80.3 eV/cell
- Relative energy among the computed polymorphs: 0 meV/atom
- Space group: C2/m (12)
- DOS(E_F): 1.377 states/eV/atom
- Energy relative to the elements, uncorrected: -1.139 eV per atom
- Theoretical density: 6.7 g/cm³
- Crystal system: monoclinic

Geometry as CIF:
```
data_NpVS3
_space_group_name_H-M_alt 'P 1'
_space_group_IT_number 1
_cell_length_a 6.927
_cell_length_b 6.927
_cell_length_c 9.774
_cell_angle_alpha 124.87
_cell_angle_beta 124.87
_cell_angle_gamma 30.35
loop_
_space_group_symop_operation_xyz
'x,y,z'
loop_
_atom_site_label
_atom_site_type_symbol
_atom_site_fract_x
_atom_site_fract_y
_atom_site_fract_z
Np1 Np 0.084 0.084 0.414
Np2 Np 0.916 0.916 0.586
V1 V 0.251 0.251 0.869
V2 V 0.749 0.749 0.131
S1 S 0.117 0.117 0.952
S2 S 0.332 0.332 0.699
S3 S 0.385 0.385 0.331
S4 S 0.615 0.615 0.669
S5 S 0.668 0.668 0.301
S6 S 0.883 0.883 0.048
```

=====

No. 13
Compound: Mn2GaBr
Source: Alexandria
Functional: PBE
Structure: optimized geometry

Calculated values
- DFT total energy: -19.7 eV/cell
- Relative energy among the computed polymorphs: 442 meV/atom
- Space group: Fm-3m (225)
- DOS(E_F): 1.540 states/eV/atom
- Energy relative to the elements, uncorrected: 0.835 eV per atom
- Theoretical density: 8.0 g/cm³
- Crystal system: cubic

Geometry as CIF:
```
data_Mn2GaBr
_space_group_name_H-M_alt 'P 1'
_space_group_IT_number 1
_cell_length_a 4.247
_cell_length_b 4.247
_cell_length_c 4.247
_cell_angle_alpha 60.00
_cell_angle_beta 60.00
_cell_angle_gamma 60.00
loop_
_space_group_symop_operation_xyz
'x,y,z'
loop_
_atom_site_label
_atom_site_type_symbol
_atom_site_fract_x
_atom_site_fract_y
_atom_site_fract_z
Mn1 Mn 0.250 0.250 0.250
Mn2 Mn 0.750 0.750 0.750
Ga1 Ga 0.000 0.000 0.000
Br1 Br 0.500 0.500 0.500
```

=====

No. 14
Compound: Bi2PdAu2
Source: Alexandria
Functional: PBE
Structure: optimized geometry

Calculated values
- ΔE_f: 0.026 eV/atom
- DFT total energy: -19.4 eV/cell
- Relative energy among the computed polymorphs: 149 meV/atom
- Space group: I4/mmm (139)
- DOS(E_F): 0.544 states/eV/atom
- Theoretical density: 12.8 g/cm³
- Crystal system: tetragonal

Geometry as CIF:
```
data_Bi2PdAu2
_space_group_name_H-M_alt 'P 1'
_space_group_IT_number 1
_cell_length_a 8.772
_cell_length_b 8.772
_cell_length_c 8.772
_cell_angle_alpha 155.15
_cell_angle_beta 155.15
_cell_angle_gamma 35.42
loop_
_space_group_symop_operation_xyz
'x,y,z'
loop_
_atom_site_label
_atom_site_type_symbol
_atom_site_fract_x
_atom_site_fract_y
_atom_site_fract_z
Bi1 Bi 0.097 0.097 0.000
Bi2 Bi 0.903 0.903 0.000
Pd1 Pd 0.500 0.500 0.000
Au1 Au 0.250 0.750 0.500
Au2 Au 0.750 0.250 0.500
```

=====

Magnetization values (in Bohr magnetons per cell) by entry order: 0.00 0.00 0.00 10.00 6.85 4.85 0.00 0.01 10.67 0.00 0.00 11.78 0.00 0.00.